# Hf3Ni3Rh2

A relaxed Hf3Ni3Rh2 crystal (PBE-GGA, the Alexandria database).

Geometry as POSCAR:
```
Hf3Ni3Rh2
1.0
6.5622 0.0000 0.0000
-3.2811 5.6830 0.0000
0.0000 0.0000 3.4380
Hf Ni Rh
3 3 2
Direct
0.0000 0.3598 0.0000
0.3598 0.0000 0.0000
0.6402 0.6402 0.0000
0.0000 0.7814 0.5000
0.2186 0.2186 0.5000
0.7814 0.0000 0.5000
0.3333 0.6667 0.5000
0.6667 0.3333 0.5000
```

M_tot, μB per cell: 0.0
Space group: P-62m (189)
ΔH_f (0 K), kcal/mol of atoms: -12.8